The following is a PBE-GGA calculation of crystalline V6Sn2Mo at its relaxed geometry, from the Alexandria database.

## Properties
V	15.7	Å³ per atom
E_form	0.16	eV per atom

```
data_V6Sn2Mo
_space_group_name_H-M_alt 'C 1 2/m 1'
_space_group_IT_number 12
_space_group_name_Hall '-C 2y'
_cell_length_a 12.822
_cell_length_b 7.989
_cell_length_c 2.765
_cell_angle_alpha 90.00
_cell_angle_beta 95.07
_cell_angle_gamma 90.00
loop_
_atom_site_label
_atom_site_fract_x
_atom_site_fract_y
_atom_site_fract_z
V1 0.000 0.173 0.000
V2 0.159 0.334 0.843
Sn1 0.169 0.000 0.529
Mo1 0.000 0.500 0.500
```

***

The following is a PBE-GGA calculation of crystalline Sm5Y5Tl at its relaxed geometry, from the Alexandria database.

## Properties
V	33.7	Å³ per atom
E_form	0.31	eV per atom

```
data_Sm5Y5Tl
_space_group_name_H-M_alt 'P -6 m 2'
_space_group_IT_number 187
_space_group_name_Hall 'P -6 2'
_cell_length_a 6.1681
_cell_length_b 6.1681
_cell_length_c 11.2609
_cell_angle_alpha 90.00
_cell_angle_beta 90.00
_cell_angle_gamma 120.00
loop_
_atom_site_label
_atom_site_fract_x
_atom_site_fract_y
_atom_site_fract_z
Sm1 0.0000 0.0000 0.2334
Sm2 0.3408 0.1704 0.0000
Y1 0.0000 0.0000 0.5000
Y2 0.3333 0.6667 0.2047
Y3 0.6667 0.3333 0.3191
Tl1 0.3333 0.6667 0.5000
```